Density functional theory data (GGA-PBE) for a geometry-optimized TaFeCuSi structure.

Computed properties:
polymorph energy (0 for the lowest one) = 118 meV/atom
space group = Amm2
volume = 13.69 A^3/atom
formation energy from raw total energies = -0.066 eV/atom

```
TaFeCuSi
1.0
3.7630 0.0000 0.0000
0.0000 2.9469 0.0000
0.0000 0.0000 9.8730
Si Fe Cu Ta
2 2 2 2
direct
0.0000 0.0000 0.8974
0.0000 0.5000 0.3974
0.5000 0.0000 0.7575
0.5000 0.5000 0.2575
0.5000 0.0000 0.4912
0.5000 0.5000 0.9912
0.0000 0.0000 0.1611
0.0000 0.5000 0.6611
```

---

Density functional theory data (GGA-PBE) for a geometry-optimized TaFeCuSi structure.

Computed properties:
polymorph energy (0 for the lowest one) = 105 meV/atom
space group = Imm2
volume = 13.32 A^3/atom
formation energy from raw total energies = -0.079 eV/atom

```
TaFeCuSi
1.0
4.1539 0.0000 0.0000
0.0000 3.2790 0.0000
0.0000 0.0000 7.8236
Si Fe Cu Ta
2 2 2 2
direct
0.0000 0.5000 0.0837
0.5000 0.0000 0.5837
0.0000 0.5000 0.5681
0.5000 0.0000 0.0681
0.0000 0.0000 0.3016
0.5000 0.5000 0.8016
0.0000 0.0000 0.8224
0.5000 0.5000 0.3224
```

---

Density functional theory data (GGA-PBE) for a geometry-optimized TaFeCuSi structure.

Computed properties:
polymorph energy (0 for the lowest one) = 152 meV/atom
space group = Pm
volume = 13.99 A^3/atom
formation energy from raw total energies = -0.032 eV/atom

```
TaFeCuSi
1.0
-0.4695 2.3417 3.1977
-0.5876 -2.4395 1.7002
4.6687 -1.2317 -0.1538
Si Fe Cu Ta
1 1 1 1
direct
0.6283 0.0000 0.6467
0.4847 0.5000 0.2803
0.1582 0.5000 0.7229
0.9524 0.0000 0.1880
```

---

Density functional theory data (GGA-PBE) for a geometry-optimized TaFeCu2Si structure.

Computed properties:
space group = P4/mmm
volume = 15.15 A^3/atom
formation energy from raw total energies = 0.698 eV/atom

```
TaFeCu2Si
1.0
-0.4301 -1.2524 -3.9984
3.4597 -2.4718 0.4021
-2.4320 -3.1985 1.2634
Si Fe Cu Ta
1 1 2 1
direct
0.0000 0.0000 0.0000
0.0000 0.5000 0.0000
0.0000 0.0000 0.5000
0.5000 0.0000 0.0000
0.5000 0.5000 0.5000
```

---

Density functional theory data (GGA-PBE) for a geometry-optimized SmFe4Cu structure.

Computed properties:
space group = F-43m
volume = 14.77 A^3/atom
E = -6.9926 eV per atom

```
SmFe4Cu
1.0
-0.6094 2.3574 4.3724
-4.5633 0.3903 2.0177
-1.1497 -2.6112 4.1118
Cu Sm Fe
1 1 4
direct
0.2500 0.2500 0.2500
0.0000 0.0000 0.0000
0.6239 0.6239 0.1282
0.6239 0.1282 0.6239
0.6239 0.6239 0.6239
0.1282 0.6239 0.6239
```

---

Density functional theory data (GGA-PBE) for a geometry-optimized SmYFeCu structure.

Computed properties:
space group = F-43m
volume = 20.79 A^3/atom
E = -5.9021 eV per atom

```
SmYFeCu
1.0
-1.1132 -1.6051 4.4934
3.1343 -2.8889 2.4158
2.4255 1.7296 3.8900
Y Cu Sm Fe
1 1 1 1
direct
0.7500 0.7500 0.7500
0.0000 0.0000 0.0000
0.2500 0.2500 0.2500
0.5000 0.5000 0.5000
```

---

Density functional theory data (GGA-PBE) for a geometry-optimized Fe3CuSn structure.

Computed properties:
polymorph energy (0 for the lowest one) = 0 meV/atom
space group = Pm-3m
volume = 17.25 A^3/atom

```
Fe3CuSn
1.0
-0.3803 -2.4190 -3.6776
4.1031 1.1418 -1.1753
1.5939 -3.5165 2.1482
Sn Cu Fe
1 1 3
direct
0.5000 0.5000 0.5000
0.0000 0.0000 0.0000
0.0000 0.5000 0.0000
0.0000 0.0000 0.5000
0.5000 0.0000 0.0000
```

---

Density functional theory data (GGA-PBE) for a geometry-optimized FeCuSn structure.

Computed properties:
space group = P3m1
volume = 15.61 A^3/atom
E = -5.2220 eV per atom

```
FeCuSn
1.0
2.9221 0.0000 0.0000
0.0000 4.3024 0.0000
0.0000 -2.1512 3.7260
Sn Cu Fe
1 1 1
direct
0.7102 0.6667 0.3333
0.9788 0.0000 0.0000
0.3110 0.3333 0.6667
```

---

Density functional theory data (GGA-PBE) for a geometry-optimized FeCu2Sn structure.

Computed properties:
space group = I-42d
volume = 15.86 A^3/atom
E = -4.7549 eV per atom

```
FeCu2Sn
1.0
-2.7126 2.5069 0.2064
-0.5009 -0.8358 3.5688
4.5712 7.3239 4.2743
Sn Cu Fe
2 4 2
direct
0.0000 0.0000 0.0000
0.7500 0.2500 0.5000
0.6069 0.1250 0.2500
0.1431 0.6250 0.2500
0.3750 0.3931 0.7500
0.8750 0.8569 0.7500
0.5000 0.5000 0.0000
0.2500 0.7500 0.5000
```

---

Density functional theory data (GGA-PBE) for a geometry-optimized FeCu2Sn2 structure.

Computed properties:
space group = I4/mmm
volume = 19.33 A^3/atom
E = -4.2770 eV per atom

```
FeCu2Sn2
1.0
-2.0936 1.9708 2.9742
-3.5232 -1.6863 -1.3626
-2.0396 -4.2565 4.2618
Sn Cu Fe
2 2 1
direct
0.7500 0.2500 0.5000
0.2500 0.7500 0.5000
0.3991 0.3991 0.2019
0.6009 0.6009 0.7981
0.0000 0.0000 0.0000
```

---

Density functional theory data (GGA-PBE) for a geometry-optimized FeCu3Sn structure.

Computed properties:
polymorph energy (0 for the lowest one) = 0 meV/atom
space group = Pm-3m
volume = 18.42 A^3/atom

```
FeCu3Sn
1.0
4.5159 0.0000 0.0000
0.0000 4.5159 0.0000
0.0000 0.0000 4.5159
Sn Cu Fe
1 3 1
direct
0.5000 0.5000 0.5000
0.0000 0.5000 0.0000
0.0000 0.0000 0.5000
0.5000 0.0000 0.0000
0.0000 0.0000 0.0000
```

---

Density functional theory data (GGA-PBE) for a geometry-optimized FeCuSn structure.

Computed properties:
space group = I4mm
volume = 15.42 A^3/atom
E = -5.2309 eV per atom

```
FeCuSn
1.0
-2.8008 0.8211 -1.4462
-0.0134 -2.8436 -1.5886
-0.8182 -0.8087 4.7938
Sn Cu Fe
1 1 1
direct
0.9498 0.9498 0.8996
0.2693 0.2693 0.5386
0.6309 0.6309 0.2618
```

---

Density functional theory data (GGA-PBE) for a geometry-optimized FeCuSn4 structure.

Computed properties:
space group = I4/mcm
volume = 20.00 A^3/atom
E = -4.7020 eV per atom

```
FeCuSn4
1.0
-3.8283 -1.0252 5.2129
-4.3532 -3.0779 -3.8022
6.6939 -2.8107 0.2502
Fe Cu Sn
2 2 8
direct
0.2500 0.2500 0.5000
0.7500 0.7500 0.5000
0.5000 0.5000 0.0000
0.0000 0.0000 0.0000
0.4737 0.9737 0.2727
0.9737 0.7990 0.2727
0.2990 0.4737 0.2727
0.7010 0.5263 0.7273
0.0263 0.2010 0.7273
0.5263 0.0263 0.7273
0.2010 0.7010 0.7273
0.7990 0.2990 0.2727
```

---

Density functional theory data (GGA-PBE) for a geometry-optimized VFeCuSn structure.

Computed properties:
space group = F-43m
volume = 14.40 A^3/atom
E = -6.3472 eV per atom

```
VFeCuSn
1.0
-2.0804 -1.7854 -3.3584
1.9459 -0.2601 -3.8653
1.2660 -3.8518 -1.5347
V Sn Cu Fe
1 1 1 1
direct
0.7500 0.7500 0.7500
0.2500 0.2500 0.2500
0.5000 0.5000 0.5000
0.0000 0.0000 0.0000
```

---

Density functional theory data (GGA-PBE) for a geometry-optimized FeCuSnW2 structure.

Computed properties:
space group = P4/mmm
volume = 18.06 A^3/atom
E = -7.2881 eV per atom

```
FeCuSnW2
1.0
-0.0753 4.4334 0.1850
-0.2389 -0.1949 4.5740
4.4312 0.0655 0.2343
Cu Sn W Fe
1 1 2 1
direct
0.0000 0.5000 0.0000
0.5000 0.5000 0.5000
0.0000 0.0000 0.5000
0.5000 0.0000 0.0000
0.0000 0.0000 0.0000
```

---

Density functional theory data (GGA-PBE) for a geometry-optimized Zn2FeCuSn structure.

Computed properties:
space group = P4/mmm
volume = 20.51 A^3/atom
E = -3.2252 eV per atom

```
Zn2FeCuSn
1.0
-1.8843 3.4304 2.4583
-3.0661 -3.1121 1.9926
3.0168 -0.7878 3.4118
Zn Sn Cu Fe
2 1 1 1
direct
0.0000 0.0000 0.5000
0.5000 0.0000 0.0000
0.0000 0.5000 0.0000
0.5000 0.5000 0.5000
0.0000 0.0000 0.0000
```

---

Density functional theory data (GGA-PBE) for a geometry-optimized SrFe2Cu structure.

Computed properties:
space group = Immm
volume = 17.72 A^3/atom
E = -5.0148 eV per atom

```
SrFe2Cu
1.0
5.7320 0.0080 -0.0043
2.9456 4.9172 0.0043
-3.7065 -3.5765 2.5151
Cu Fe Sr
1 2 1
direct
0.2500 0.7500 0.5000
0.0350 0.0350 0.0000
0.4650 0.4650 0.0000
0.7500 0.2500 0.5000
```

---

Density functional theory data (GGA-PBE) for a geometry-optimized Sr2FeCu structure.

Computed properties:
polymorph energy (0 for the lowest one) = 345 meV/atom
space group = C2/m
volume = 30.27 A^3/atom

```
Sr2FeCu
1.0
-0.5144 1.7149 3.9222
-3.1016 -0.9131 2.8523
3.8279 -5.7079 4.7637
Cu Fe Sr
1 1 2
direct
0.7500 0.7500 0.7500
0.2500 0.2500 0.2500
0.0046 0.0046 0.9958
0.4954 0.4954 0.5042
```

---

Density functional theory data (GGA-PBE) for a geometry-optimized Sr2FeCu structure.

Computed properties:
polymorph energy (0 for the lowest one) = 181 meV/atom
space group = P4/mmm
volume = 26.82 A^3/atom

```
Sr2FeCu
1.0
5.4266 -0.0057 -0.0062
0.0059 5.4266 -0.0062
0.0082 0.0082 3.6437
Cu Fe Sr
1 1 2
direct
0.5000 0.0000 0.5000
0.0000 0.5000 0.5000
0.0000 0.0000 0.0000
0.5000 0.5000 0.0000
```

---

Density functional theory data (GGA-PBE) for a geometry-optimized SrFe2Cu structure.

Computed properties:
space group = I-4m2
volume = 17.75 A^3/atom
E = -4.9659 eV per atom

```
SrFe2Cu
1.0
-1.1408 2.1532 -3.9780
-4.4482 0.3638 1.3577
3.4501 1.6283 2.6847
Cu Fe Sr
1 2 1
direct
0.7500 0.2500 0.5000
0.0000 0.0000 0.0000
0.2500 0.7500 0.5000
0.5000 0.5000 0.0000
```